(1)
Below is ThHCl2 after structural relaxation, with properties calculated at the GGA-PBE level.

## Properties
* crystal system: monoclinic
* SG: P2_1/m (11)

abc: 3.719 8.430 6.461
angles: 115.34 90.00 90.00
Positions (direct):
Cl: 0.250 0.600 0.349
Cl: 0.750 0.186 0.051
Cl: 0.250 0.814 0.949
Cl: 0.750 0.400 0.651
Th: 0.750 0.855 0.628
Th: 0.250 0.145 0.372
H: 0.750 0.986 0.379
H: 0.250 0.014 0.621

(2)
Below is ThHCl after structural relaxation, with properties calculated at the GGA-PBE level.

## Properties
* crystal system: tetragonal
* SG: I4mm (107)

abc: 3.430 3.430 5.425
angles: 108.43 108.43 90.00
Positions (direct):
H: 0.052 0.052 0.105
Th: 0.620 0.620 0.241
Cl: 0.327 0.327 0.655

(3)
Below is ThHCl after structural relaxation, with properties calculated at the GGA-PBE level.

## Properties
* crystal system: monoclinic
* SG: P2/c (13)

abc: 3.870 3.574 10.206
angles: 90.04 89.99 90.15
Positions (direct):
Cl: 0.250 0.749 0.162
Cl: 0.750 0.251 0.838
Th: 0.750 0.750 0.359
Th: 0.250 0.250 0.641
H: 0.750 0.250 0.513
H: 0.250 0.750 0.487

Final energy (eV per atom)
-5.02; -4.90; -5.22